(one)
The following is a PBE calculation of TbNd3Ga4 after structural relaxation, from Alexandria via LeMat-Bulk. Values from VASP.

```
&SYSTEM
  ibrav = 0, nat = 8, ntyp = 3
/
ATOMIC_SPECIES
Tb 158.93 Tb.upf
Nd 144.24 Nd.upf
Ga 69.72 Ga.upf
CELL_PARAMETERS angstrom
-1.8758 3.4331 8.4880
1.8758 -3.4331 8.4880
1.8758 3.4331 -8.4880
ATOMIC_POSITIONS angstrom
Tb 0.0000 0.0000 0.0000
Nd 1.8758 0.0000 3.4312
Nd 0.0000 0.0000 8.4880
Nd 0.0000 3.4331 5.0568
Ga 1.8758 -1.3230 6.3155
Ga 0.0000 2.1100 2.1725
Ga 1.8758 1.3230 6.3155
Ga 0.0000 4.7561 2.1725
```

* DOS at the Fermi energy: 6.6 states/eV/f.u.

(two)
The following is a PBE calculation of TbNd3Ga4 after structural relaxation, from Alexandria via LeMat-Bulk. Values from VASP.

```
&SYSTEM
  ibrav = 0, nat = 8, ntyp = 3
/
ATOMIC_SPECIES
Tb 158.93 Tb.upf
Nd 144.24 Nd.upf
Ga 69.72 Ga.upf
CELL_PARAMETERS angstrom
3.6690 0.0000 0.0000
0.0000 3.6690 0.0000
0.0000 0.0000 14.6919
ATOMIC_POSITIONS angstrom
Tb 0.0000 0.0000 0.0000
Nd 0.0000 0.0000 3.6119
Nd 0.0000 0.0000 7.3459
Nd 0.0000 0.0000 11.0800
Ga 1.8345 1.8345 1.7089
Ga 1.8345 1.8345 5.4794
Ga 1.8345 1.8345 9.2124
Ga 1.8345 1.8345 12.9830
```

* DOS at the Fermi energy: 3.8 states/eV/f.u.

Stability check: which of them is most stable? (two).

(one)
The following is a PBE calculation of Tb3NdGa4 after structural relaxation, from Alexandria via LeMat-Bulk. Values from VASP.

```
&SYSTEM
  ibrav = 0, nat = 8, ntyp = 3
/
ATOMIC_SPECIES
Tb 158.93 Tb.upf
Nd 144.24 Nd.upf
Ga 69.72 Ga.upf
CELL_PARAMETERS angstrom
-1.7880 3.4258 8.4124
1.7880 -3.4258 8.4124
1.7880 3.4258 -8.4124
ATOMIC_POSITIONS angstrom
Tb 0.0000 0.0000 0.0000
Tb 1.7880 0.0000 5.0061
Tb 0.0000 3.4258 3.4063
Nd 0.0000 0.0000 8.4124
Ga 1.7880 1.2975 -2.2117
Ga 1.7880 1.2975 2.2117
Ga 0.0000 2.1283 6.2008
Ga 0.0000 2.1283 10.6241
```

* DOS at the Fermi energy: 4.8 states/eV/f.u.

(two)
The following is a PBE calculation of Tb3NdGa4 after structural relaxation, from Alexandria via LeMat-Bulk. Values from VASP.

```
&SYSTEM
  ibrav = 0, nat = 8, ntyp = 3
/
ATOMIC_SPECIES
Tb 158.93 Tb.upf
Nd 144.24 Nd.upf
Ga 69.72 Ga.upf
CELL_PARAMETERS angstrom
5.1106 0.0000 0.0000
0.0000 5.1106 0.0000
0.0000 0.0000 7.2238
ATOMIC_POSITIONS angstrom
Tb 0.0000 0.0000 0.0000
Tb 0.0000 0.0000 3.6119
Tb 2.5553 2.5553 0.0000
Nd 2.5553 2.5553 3.6119
Ga 0.0000 2.5553 1.7599
Ga 0.0000 2.5553 5.4639
Ga 2.5553 0.0000 1.7599
Ga 2.5553 0.0000 5.4639
```

* DOS at the Fermi energy: 2.8 states/eV/f.u.

Stability check: which of them is most stable? (two).

(one)
The following is a PBE calculation of TbNd2Ga after structural relaxation, from Alexandria via LeMat-Bulk. Values from VASP.

```
&SYSTEM
  ibrav = 0, nat = 4, ntyp = 3
/
ATOMIC_SPECIES
Tb 158.93 Tb.upf
Nd 144.24 Nd.upf
Ga 69.72 Ga.upf
CELL_PARAMETERS angstrom
3.6123 0.0000 0.0000
0.0000 3.6123 0.0000
0.0000 0.0000 9.0909
ATOMIC_POSITIONS angstrom
Tb 0.0000 0.0000 0.0000
Nd 1.8062 1.8062 2.6224
Nd 1.8062 1.8062 6.4685
Ga 0.0000 0.0000 4.5455
```

* DOS at the Fermi energy: 4.3 states/eV/f.u.

(two)
The following is a PBE calculation of TbNd2Ga after structural relaxation, from Alexandria via LeMat-Bulk. Values from VASP.

```
&SYSTEM
  ibrav = 0, nat = 4, ntyp = 3
/
ATOMIC_SPECIES
Tb 158.93 Tb.upf
Nd 144.24 Nd.upf
Ga 69.72 Ga.upf
CELL_PARAMETERS angstrom
0.0000 3.8473 3.8473
3.8473 0.0000 3.8473
3.8473 3.8473 0.0000
ATOMIC_POSITIONS angstrom
Tb 0.0000 0.0000 0.0000
Nd 1.9237 1.9237 1.9237
Nd 5.7710 5.7710 5.7710
Ga 3.8473 3.8473 3.8473
```

* DOS at the Fermi energy: 7.4 states/eV/f.u.

Stability check: which of them is most stable? (one).

(one)
The following is a PBE calculation of TbNd2Ga after structural relaxation, from Alexandria via LeMat-Bulk. Values from VASP.

```
&SYSTEM
  ibrav = 0, nat = 8, ntyp = 3
/
ATOMIC_SPECIES
Tb 158.93 Tb.upf
Nd 144.24 Nd.upf
Ga 69.72 Ga.upf
CELL_PARAMETERS angstrom
3.7093 0.0000 0.0000
0.0000 9.9950 0.0000
-1.8528 0.0000 6.4473
ATOMIC_POSITIONS angstrom
Tb 0.0044 2.4987 0.7272
Tb 1.8521 7.4962 5.7201
Nd 0.0021 0.4754 4.6942
Nd 0.0021 4.5221 4.6942
Nd 1.8544 5.4729 1.7531
Nd 1.8544 9.5196 1.7531
Ga -0.0052 7.4962 3.3185
Ga 1.8617 2.4987 3.1288
```

* DOS at the Fermi energy: 5.2 states/eV/f.u.

(two)
The following is a PBE calculation of TbNd2Ga after structural relaxation, from Alexandria via LeMat-Bulk. Values from VASP.

```
&SYSTEM
  ibrav = 0, nat = 4, ntyp = 3
/
ATOMIC_SPECIES
Tb 158.93 Tb.upf
Nd 144.24 Nd.upf
Ga 69.72 Ga.upf
CELL_PARAMETERS angstrom
1.7749 1.0248 11.9641
-1.7749 1.0248 11.9641
0.0000 -2.0495 11.9641
ATOMIC_POSITIONS angstrom
Tb 0.0000 0.0000 0.0000
Nd 0.0000 0.0000 14.8651
Nd 0.0000 0.0000 21.0273
Ga 0.0000 0.0000 17.9462
```

* DOS at the Fermi energy: 4.5 states/eV/f.u.

Stability check: which of them is most stable? (one).

(one)
The following is a PBE calculation of TbNd2Ga after structural relaxation, from Alexandria via LeMat-Bulk. Values from VASP.

```
&SYSTEM
  ibrav = 0, nat = 4, ntyp = 3
/
ATOMIC_SPECIES
Tb 158.93 Tb.upf
Nd 144.24 Nd.upf
Ga 69.72 Ga.upf
CELL_PARAMETERS angstrom
1.8582 1.0729 10.4455
-1.8582 1.0729 10.4455
0.0000 -2.1457 10.4455
ATOMIC_POSITIONS angstrom
Tb 0.0000 0.0000 0.0000
Nd 0.0000 0.0000 17.8995
Nd 0.0000 0.0000 23.8635
Ga 0.0000 0.0000 5.2028
```

* DOS at the Fermi energy: 5.1 states/eV/f.u.

(two)
The following is a PBE calculation of TbNd2Ga after structural relaxation, from Alexandria via LeMat-Bulk. Values from VASP.

```
&SYSTEM
  ibrav = 0, nat = 4, ntyp = 3
/
ATOMIC_SPECIES
Tb 158.93 Tb.upf
Nd 144.24 Nd.upf
Ga 69.72 Ga.upf
CELL_PARAMETERS angstrom
4.8120 0.0000 0.0000
0.0000 4.8120 0.0000
0.0000 0.0000 4.8532
ATOMIC_POSITIONS angstrom
Tb 0.0000 0.0000 0.0000
Nd 0.0000 2.4060 2.4266
Nd 2.4060 0.0000 2.4266
Ga 2.4060 2.4060 0.0000
```

* DOS at the Fermi energy: 6.5 states/eV/f.u.

Stability check: which of them is most stable? (two).

(one)
The following is a PBE calculation of Tb3Nd2Ga4 after structural relaxation, from Alexandria via LeMat-Bulk. Values from VASP.

```
&SYSTEM
  ibrav = 0, nat = 18, ntyp = 3
/
ATOMIC_SPECIES
Tb 158.93 Tb.upf
Nd 144.24 Nd.upf
Ga 69.72 Ga.upf
CELL_PARAMETERS angstrom
3.4751 -7.9451 0.0000
3.4751 7.9451 0.0000
0.0000 0.0000 8.6362
ATOMIC_POSITIONS angstrom
Tb 0.0000 0.0000 0.0000
Tb 1.7375 3.4453 2.1591
Tb 1.7375 -3.4453 6.4772
Tb 3.4751 0.0000 4.3181
Tb 5.2126 3.4453 2.1591
Tb 5.2126 -3.4453 6.4772
Nd 3.4751 6.2527 3.6371
Nd 3.4751 1.6925 7.9552
Nd 3.4751 -1.6925 0.6810
Nd 3.4751 -6.2527 4.9991
Ga 3.4751 4.9949 0.3417
Ga 1.7375 0.5211 2.1591
Ga 1.7375 -0.5211 6.4772
Ga 3.4751 2.9503 4.6598
Ga 3.4751 -2.9503 3.9764
Ga 5.2126 0.5211 2.1591
Ga 5.2126 -0.5211 6.4772
Ga 3.4751 -4.9949 8.2945
```

* DOS at the Fermi energy: 6.4 states/eV/f.u.

(two)
The following is a PBE calculation of Tb3Nd2Ga4 after structural relaxation, from Alexandria via LeMat-Bulk. Values from VASP.

```
&SYSTEM
  ibrav = 0, nat = 18, ntyp = 3
/
ATOMIC_SPECIES
Tb 158.93 Tb.upf
Nd 144.24 Nd.upf
Ga 69.72 Ga.upf
CELL_PARAMETERS angstrom
8.0378 0.0000 0.0000
0.0000 8.0632 0.0000
-2.1472 0.0000 7.2750
ATOMIC_POSITIONS angstrom
Tb 0.0000 0.0000 0.0000
Tb -1.0736 4.0316 3.6375
Tb 0.4893 1.4086 5.4447
Tb 1.5630 2.6230 1.8073
Tb 4.3276 5.4402 5.4677
Tb 5.4012 6.6546 1.8302
Nd 0.5012 5.5007 6.7371
Nd 1.5748 6.5941 3.0997
Nd 4.3158 1.4691 4.1753
Nd 5.3894 2.5625 0.5378
Ga -0.2048 5.0029 0.8764
Ga -1.2784 7.0919 4.5139
Ga 3.0868 0.2456 0.9619
Ga 2.0132 3.7860 4.5994
Ga 3.8774 4.2772 2.6756
Ga 2.8037 7.8176 6.3130
Ga 7.1690 0.9713 2.7610
Ga 6.0954 3.0603 6.3985
```

* DOS at the Fermi energy: 8.0 states/eV/f.u.

Stability check: which of them is most stable? (two).

(one)
The following is a PBE calculation of NdGa3Tc after structural relaxation, from Alexandria via LeMat-Bulk. Values from VASP.

```
&SYSTEM
  ibrav = 0, nat = 5, ntyp = 3
/
ATOMIC_SPECIES
Nd 144.24 Nd.upf
Ga 69.72 Ga.upf
Tc 98.00 Tc.upf
CELL_PARAMETERS angstrom
4.7828 0.0000 0.0000
0.0000 4.7828 0.0000
0.0000 0.0000 4.7828
ATOMIC_POSITIONS angstrom
Nd 0.0000 0.0000 0.0000
Ga 0.0000 2.3914 2.3914
Ga 2.3914 0.0000 2.3914
Ga 2.3914 2.3914 0.0000
Tc 2.3914 2.3914 2.3914
```

* DOS at the Fermi energy: 1.8 states/eV/f.u.

(two)
The following is a PBE calculation of NdGa3Tc after structural relaxation, from Alexandria via LeMat-Bulk. Values from VASP.

```
&SYSTEM
  ibrav = 0, nat = 10, ntyp = 3
/
ATOMIC_SPECIES
Nd 144.24 Nd.upf
Ga 69.72 Ga.upf
Tc 98.00 Tc.upf
CELL_PARAMETERS angstrom
6.3293 0.0000 0.0000
-3.1647 5.4814 0.0000
0.0000 0.0000 5.6255
ATOMIC_POSITIONS angstrom
Nd 0.0000 3.6543 1.4064
Nd 3.1647 1.8271 4.2191
Ga 0.0000 2.1361 4.2191
Ga -1.3147 4.4133 4.2191
Ga 1.8499 1.0681 1.4064
Ga 1.3147 4.4133 4.2191
Ga 4.4794 1.0681 1.4064
Ga 3.1647 3.3453 1.4064
Tc 0.0000 0.0000 0.0000
Tc 0.0000 0.0000 2.8128
```

* DOS at the Fermi energy: 4.2 states/eV/f.u.

Stability check: which of them is most stable? (two).

(one)
The following is a PBE calculation of NdGaTc after structural relaxation, from Alexandria via LeMat-Bulk. Values from VASP.

```
&SYSTEM
  ibrav = 0, nat = 3, ntyp = 3
/
ATOMIC_SPECIES
Nd 144.24 Nd.upf
Ga 69.72 Ga.upf
Tc 98.00 Tc.upf
CELL_PARAMETERS angstrom
4.3953 0.0000 0.0000
-2.1977 3.8065 0.0000
0.0000 0.0000 3.9041
ATOMIC_POSITIONS angstrom
Nd 0.0000 0.0000 0.0000
Ga 0.0000 2.5376 1.9521
Tc 2.1977 1.2688 1.9521
```

* DOS at the Fermi energy: 2.2 states/eV/f.u.

(two)
The following is a PBE calculation of NdGaTc after structural relaxation, from Alexandria via LeMat-Bulk. Values from VASP.

```
&SYSTEM
  ibrav = 0, nat = 9, ntyp = 3
/
ATOMIC_SPECIES
Nd 144.24 Nd.upf
Ga 69.72 Ga.upf
Tc 98.00 Tc.upf
CELL_PARAMETERS angstrom
6.9723 0.0000 0.0000
-3.4862 6.0382 0.0000
0.0000 0.0000 4.5460
ATOMIC_POSITIONS angstrom
Nd -1.5077 2.6114 0.0000
Nd 3.0154 0.0000 0.0000
Nd 1.9784 3.4268 0.0000
Ga 0.0000 0.0000 0.0000
Ga 0.0000 4.0255 2.2730
Ga 3.4862 2.0127 2.2730
Tc -2.7450 4.7544 2.2730
Tc 0.7412 1.2838 2.2730
Tc 5.4900 0.0000 2.2730
```

* DOS at the Fermi energy: 3.2 states/eV/f.u.

Stability check: which of them is most stable? (two).

(one)
The following is a PBE calculation of Nd2GaTe after structural relaxation, from Alexandria via LeMat-Bulk. Values from VASP.

```
&SYSTEM
  ibrav = 0, nat = 4, ntyp = 3
/
ATOMIC_SPECIES
Nd 144.24 Nd.upf
Ga 69.72 Ga.upf
Te 127.60 Te.upf
CELL_PARAMETERS angstrom
2.1277 1.2284 7.7646
-2.1277 1.2284 7.7646
0.0000 -2.4569 7.7646
ATOMIC_POSITIONS angstrom
Nd 0.0000 0.0000 5.7412
Nd 0.0000 0.0000 17.5527
Ga 0.0000 0.0000 11.6470
Te 0.0000 0.0000 0.0000
```

* DOS at the Fermi energy: 2.1 states/eV/f.u.

(two)
The following is a PBE calculation of Nd2GaTe after structural relaxation, from Alexandria via LeMat-Bulk. Values from VASP.

```
&SYSTEM
  ibrav = 0, nat = 4, ntyp = 3
/
ATOMIC_SPECIES
Nd 144.24 Nd.upf
Ga 69.72 Ga.upf
Te 127.60 Te.upf
CELL_PARAMETERS angstrom
2.0795 1.2006 8.2707
-2.0795 1.2006 8.2707
0.0000 -2.4012 8.2707
ATOMIC_POSITIONS angstrom
Nd 0.0000 0.0000 0.0000
Nd 0.0000 0.0000 4.1057
Ga 0.0000 0.0000 18.6171
Te 0.0000 0.0000 14.4294
```

* DOS at the Fermi energy: 3.3 states/eV/f.u.

(three)
The following is a PBE calculation of Nd2GaTe after structural relaxation, from Alexandria via LeMat-Bulk. Values from VASP.

```
&SYSTEM
  ibrav = 0, nat = 8, ntyp = 3
/
ATOMIC_SPECIES
Nd 144.24 Nd.upf
Ga 69.72 Ga.upf
Te 127.60 Te.upf
CELL_PARAMETERS angstrom
2.2719 -12.0364 0.0000
2.2719 12.0364 0.0000
0.0000 0.0000 4.3096
ATOMIC_POSITIONS angstrom
Nd 2.2719 10.5451 3.2322
Nd 2.2719 4.0969 3.2322
Nd 2.2719 -4.0969 1.0774
Nd 2.2719 -10.5451 1.0774
Ga 2.2719 0.8945 3.2322
Ga 2.2719 -0.8945 1.0774
Te 2.2719 7.3756 3.2322
Te 2.2719 -7.3756 1.0774
```

* DOS at the Fermi energy: 3.2 states/eV/f.u.

Stability check: which of them is most stable? (three).

(one)
The following is a PBE calculation of Nd4GaTe3 after structural relaxation, from Alexandria via LeMat-Bulk. Values from VASP.

```
&SYSTEM
  ibrav = 0, nat = 8, ntyp = 3
/
ATOMIC_SPECIES
Nd 144.24 Nd.upf
Ga 69.72 Ga.upf
Te 127.60 Te.upf
CELL_PARAMETERS angstrom
4.5003 -6.3144 0.0000
4.5003 6.3144 0.0000
0.0000 0.0000 4.4438
ATOMIC_POSITIONS angstrom
Nd 2.0992 0.0000 2.2219
Nd 4.5003 3.3060 0.0000
Nd 4.5003 -3.3060 0.0000
Nd 6.9015 0.0000 2.2219
Ga 0.0000 0.0000 0.0000
Te 2.2502 3.1572 2.2219
Te 2.2502 -3.1572 2.2219
Te 4.5003 0.0000 0.0000
```

* DOS at the Fermi energy: 3.0 states/eV/f.u.

(two)
The following is a PBE calculation of Nd4GaTe3 after structural relaxation, from Alexandria via LeMat-Bulk. Values from VASP.

```
&SYSTEM
  ibrav = 0, nat = 16, ntyp = 3
/
ATOMIC_SPECIES
Nd 144.24 Nd.upf
Ga 69.72 Ga.upf
Te 127.60 Te.upf
CELL_PARAMETERS angstrom
7.7681 0.0000 0.0000
0.0000 8.9744 0.0000
-2.5717 0.0000 7.2612
ATOMIC_POSITIONS angstrom
Nd 1.8090 1.0474 0.0085
Nd 0.5231 7.9270 3.6391
Nd 0.5930 3.2166 3.5261
Nd -0.6929 5.7578 7.1567
Nd 5.8892 3.2166 0.1045
Nd 4.6033 5.7578 3.7351
Nd 4.6732 1.0474 3.6221
Nd 3.3873 7.9270 7.2527
Ga -0.6429 1.1095 1.8153
Ga -1.9288 7.8649 5.4459
Te -1.9288 3.3847 5.4459
Te -0.6429 5.5897 1.8153
Te 1.9552 1.1220 5.4459
Te 3.2411 3.4039 1.8153
Te 1.9552 5.5705 5.4459
Te 3.2411 7.8524 1.8153
```

* DOS at the Fermi energy: 1.6 states/eV/f.u.

Stability check: which of them is most stable? (two).

(one)
The following is a PBE calculation of Nd4GaTe2 after structural relaxation, from Alexandria via LeMat-Bulk. Values from VASP.

```
&SYSTEM
  ibrav = 0, nat = 14, ntyp = 3
/
ATOMIC_SPECIES
Nd 144.24 Nd.upf
Ga 69.72 Ga.upf
Te 127.60 Te.upf
CELL_PARAMETERS angstrom
-4.6620 4.6620 4.7752
4.6620 -4.6620 4.7752
4.6620 4.6620 -4.7752
ATOMIC_POSITIONS angstrom
Nd 4.0230 2.9132 -1.9266
Nd 6.4108 0.6390 0.4610
Nd 0.6390 2.9132 -0.4610
Nd 0.6390 1.7488 2.8486
Nd 1.7488 -0.6390 6.7018
Nd 4.0230 1.7488 4.3142
Nd 2.9132 5.3011 1.9266
Nd -1.7488 4.0230 5.2362
Ga 0.0000 0.0000 0.0000
Ga 0.0000 4.6620 2.3876
Te 2.3310 -1.1152 3.5814
Te 3.5468 2.3310 1.1938
Te 2.3310 5.7773 -1.1938
Te 1.1152 2.3310 5.9690
```

* DOS at the Fermi energy: 7.3 states/eV/f.u.

(two)
The following is a PBE calculation of Nd4GaTe2 after structural relaxation, from Alexandria via LeMat-Bulk. Values from VASP.

```
&SYSTEM
  ibrav = 0, nat = 14, ntyp = 3
/
ATOMIC_SPECIES
Nd 144.24 Nd.upf
Ga 69.72 Ga.upf
Te 127.60 Te.upf
CELL_PARAMETERS angstrom
7.9216 0.0000 0.0000
0.0000 12.3689 0.0000
0.0000 0.0000 4.6804
ATOMIC_POSITIONS angstrom
Nd 1.1183 2.6563 0.0000
Nd 1.7326 11.6931 2.3402
Nd 2.2282 5.5086 2.3402
Nd 2.8426 8.8408 0.0000
Nd 5.0791 3.5281 0.0000
Nd 5.6934 6.8602 2.3402
Nd 6.1890 0.6758 2.3402
Nd 6.8034 9.7125 0.0000
Ga 0.0000 0.0000 0.0000
Ga 3.9608 6.1844 0.0000
Te 0.6856 8.4181 2.3402
Te 3.2752 2.2337 2.3402
Te 4.6464 10.1352 2.3402
Te 7.2360 3.9508 2.3402
```

* DOS at the Fermi energy: 5.2 states/eV/f.u.

Stability check: which of them is most stable? (one).